#one
{
  "formula": "RbInRu3",
  "functional": "PBE-GGA",
  "state": "relaxed",
  "m_tot_mub_per_atom": 1.112,
  "density_g_cm3": 6.30,
  "lattice_angstrom": [[5.101, 0.000, 0.000], [0.000, 5.101, 0.000], [0.000, 0.000, 5.101]],
  "species": ["Ru", "Ru", "Ru", "Rb", "In"],
  "fractional_positions": [[0.000, 0.500, 0.000], [0.000, 0.000, 0.500], [0.500, 0.000, 0.000], [0.500, 0.500, 0.500], [0.000, 0.000, 0.000]]
}

#two
{
  "formula": "RbInRu3",
  "functional": "PBE-GGA",
  "state": "relaxed",
  "m_tot_mub_per_atom": 1.085,
  "density_g_cm3": 7.18,
  "lattice_angstrom": [[-0.168, 4.834, 0.674], [-4.169, -0.492, 2.495], [2.537, -0.489, 4.144]],
  "species": ["Ru", "Ru", "Ru", "Rb", "In"],
  "fractional_positions": [[0.000, 0.500, 0.000], [0.000, 0.000, 0.500], [0.500, 0.000, 0.000], [0.000, 0.000, 0.000], [0.500, 0.500, 0.500]]
}

Of them, #two has the lowest stability.

#one
{
  "formula": "RbIn6S8",
  "functional": "PBE-GGA",
  "state": "relaxed",
  "m_tot_mub_per_atom": 0.000,
  "density_g_cm3": 4.16,
  "lattice_angstrom": [[7.490, -0.385, -0.398], [-0.619, 7.474, -0.398], [-0.619, -0.638, 7.457]],
  "species": ["Rb", "In", "In", "In", "In", "In", "In", "S", "S", "S", "S", "S", "S", "S", "S"],
  "fractional_positions": [[0.000, 0.000, 0.000], [0.688, 0.386, 0.831], [0.386, 0.831, 0.688], [0.831, 0.688, 0.386], [0.312, 0.614, 0.169], [0.614, 0.169, 0.312], [0.169, 0.312, 0.614], [0.673, 0.673, 0.673], [0.327, 0.327, 0.327], [0.615, 0.834, 0.167], [0.834, 0.167, 0.615], [0.167, 0.615, 0.834], [0.385, 0.166, 0.833], [0.166, 0.833, 0.385], [0.833, 0.385, 0.166]]
}

#two
{
  "formula": "RbIn6S8",
  "functional": "PBE-GGA",
  "state": "relaxed",
  "m_tot_mub_per_atom": 0.000,
  "density_g_cm3": 3.32,
  "lattice_angstrom": [[-5.269, -6.751, 2.779], [-3.615, -5.653, -6.003], [2.928, -8.499, -0.511]],
  "species": ["Rb", "In", "In", "In", "In", "In", "In", "S", "S", "S", "S", "S", "S", "S", "S"],
  "fractional_positions": [[0.000, 0.000, 0.000], [0.000, 0.500, 0.000], [0.000, 0.000, 0.500], [0.000, 0.500, 0.500], [0.500, 0.000, 0.500], [0.500, 0.500, 0.000], [0.500, 0.000, 0.000], [0.563, 0.146, 0.146], [0.854, 0.854, 0.437], [0.146, 0.146, 0.563], [0.854, 0.854, 0.854], [0.146, 0.563, 0.146], [0.146, 0.146, 0.146], [0.854, 0.437, 0.854], [0.437, 0.854, 0.854]]
}

Of them, #two has the lowest stability.

#one
{
  "formula": "Rb2InSb2",
  "functional": "PBE-GGA",
  "state": "relaxed",
  "m_tot_mub_per_atom": 0.000,
  "density_g_cm3": 3.48,
  "lattice_angstrom": [[7.239, 0.000, 0.000], [-3.620, 7.374, -2.331], [0.000, -6.451, 11.507]],
  "species": ["Rb", "Rb", "Rb", "Rb", "In", "In", "Sb", "Sb", "Sb", "Sb"],
  "fractional_positions": [[0.673, 0.347, 0.524], [0.327, 0.653, 0.476], [0.108, 0.216, 0.868], [0.892, 0.784, 0.132], [0.342, 0.684, 0.833], [0.658, 0.316, 0.167], [0.112, 0.224, 0.533], [0.888, 0.776, 0.467], [0.447, 0.894, 0.120], [0.553, 0.106, 0.880]]
}

#two
{
  "formula": "Rb2InSb2",
  "functional": "PBE-GGA",
  "state": "relaxed",
  "m_tot_mub_per_atom": 0.000,
  "density_g_cm3": 4.39,
  "lattice_angstrom": [[-1.538, -3.135, 3.696], [6.155, -4.182, 2.511], [0.212, 6.335, 8.959]],
  "species": ["Rb", "Rb", "Rb", "Rb", "In", "In", "Sb", "Sb", "Sb", "Sb"],
  "fractional_positions": [[0.656, 0.355, 0.333], [0.919, 0.255, 0.907], [0.344, 0.645, 0.667], [0.081, 0.745, 0.093], [0.656, 0.046, 0.642], [0.344, 0.954, 0.358], [0.092, 0.237, 0.578], [0.621, 0.873, 0.884], [0.908, 0.763, 0.422], [0.379, 0.127, 0.116]]
}

#three
{
  "formula": "Rb2InSb2",
  "functional": "PBE-GGA",
  "state": "relaxed",
  "m_tot_mub_per_atom": 0.000,
  "density_g_cm3": 4.47,
  "lattice_angstrom": [[-1.670, -4.687, 6.454], [-0.071, -6.585, -4.801], [5.800, -0.756, 0.952]],
  "species": ["Sb", "Sb", "Sb", "Sb", "Rb", "Rb", "Rb", "Rb", "In", "In"],
  "fractional_positions": [[0.373, 0.873, 0.000], [0.873, 0.627, 0.000], [0.627, 0.127, 0.000], [0.127, 0.373, 0.000], [0.172, 0.672, 0.500], [0.672, 0.828, 0.500], [0.828, 0.328, 0.500], [0.328, 0.172, 0.500], [0.000, 0.000, 0.000], [0.500, 0.500, 0.000]]
}

Of them, #three has the lowest stability.

#one
{
  "formula": "RbIn2Sb2",
  "functional": "PBE-GGA",
  "state": "relaxed",
  "m_tot_mub_per_atom": 0.000,
  "density_g_cm3": 4.93,
  "lattice_angstrom": [[4.945, 0.000, 0.000], [0.000, 8.662, -0.530], [0.000, 0.587, 8.756]],
  "species": ["Rb", "Rb", "In", "In", "In", "In", "Sb", "Sb", "Sb", "Sb"],
  "fractional_positions": [[0.750, 0.500, 0.250], [0.250, 0.500, 0.750], [0.750, 0.873, 0.585], [0.250, 0.873, 0.086], [0.250, 0.127, 0.415], [0.750, 0.127, 0.914], [0.250, 0.217, 0.083], [0.250, 0.783, 0.417], [0.750, 0.217, 0.583], [0.750, 0.783, 0.917]]
}

#two
{
  "formula": "RbIn2Sb2",
  "functional": "PBE-GGA",
  "state": "relaxed",
  "m_tot_mub_per_atom": 0.000,
  "density_g_cm3": 5.03,
  "lattice_angstrom": [[9.106, 0.027, 0.044], [4.557, 6.682, 0.746], [4.538, 0.748, 6.178]],
  "species": ["Rb", "Rb", "In", "In", "In", "In", "Sb", "Sb", "Sb", "Sb"],
  "fractional_positions": [[0.952, 0.750, 0.250], [0.048, 0.250, 0.750], [0.503, 0.489, 0.245], [0.762, 0.991, 0.744], [0.238, 0.009, 0.256], [0.497, 0.511, 0.755], [0.484, 0.835, 0.852], [0.830, 0.335, 0.350], [0.516, 0.165, 0.148], [0.170, 0.665, 0.650]]
}

#three
{
  "formula": "RbIn2Sb2",
  "functional": "PBE-GGA",
  "state": "relaxed",
  "m_tot_mub_per_atom": 0.000,
  "density_g_cm3": 5.24,
  "lattice_angstrom": [[-8.040, 3.828, -2.641], [-0.428, -5.861, -7.192], [-2.047, -2.698, 2.320]],
  "species": ["Sb", "Sb", "Sb", "Sb", "Rb", "Rb", "In", "In", "In", "In"],
  "fractional_positions": [[0.387, 0.887, 0.000], [0.887, 0.613, 0.000], [0.613, 0.113, 0.000], [0.113, 0.387, 0.000], [0.000, 0.000, 0.000], [0.500, 0.500, 0.000], [0.146, 0.646, 0.500], [0.646, 0.854, 0.500], [0.854, 0.354, 0.500], [0.354, 0.146, 0.500]]
}

Of them, #three has the lowest stability.